# 1
First-principles (PBE-GGA) data for a relaxed structure of MnAsRuSe2, as listed in the Alexandria database.

extended XYZ file:
```
5
Lattice="4.5728 0.0000 0.0000 0.0000 4.5728 0.0000 0.0000 0.0000 4.4945" Properties=species:S:1:pos:R:3 pbc="T T T"
Mn 0.0000 0.0000 0.0000
As 0.0000 0.0000 2.2473
Ru 2.2864 2.2864 2.2473
Se 0.0000 2.2864 0.0000
Se 2.2864 0.0000 0.0000
```

Computed properties:
As for the volume: 18.80 Å³ per atom. The value obtained for the density is 6.9 Mg/m³. The calculation puts the energy above the most stable polymorph in this dataset at 0.0 meV/atom. The crystal system is tetragonal. As for the density of states at the Fermi level: 5.68 states/eV/f.u. The value obtained for the formation energy from raw total energies is 848 meV/atom.

# 2
First-principles (PBE-GGA) data for a relaxed structure of InHg2Cl, as listed in the Alexandria database.

extended XYZ file:
```
8
Lattice="-3.6428 3.6428 5.7935 3.6428 -3.6428 5.7935 3.6428 3.6428 -5.7935" Properties=species:S:1:pos:R:3 pbc="T T T"
In 0.0000 0.0000 0.0000
In 0.0000 3.6428 2.8968
Hg 5.4642 1.7819 -1.4484
Hg 1.7819 1.8214 1.4484
Hg -1.8214 1.8609 4.3451
Hg 1.8609 1.8214 7.2419
Cl 3.6428 0.0000 2.8968
Cl 0.0000 0.0000 5.7935
```

Computed properties:
As for the volume: 38.44 Å³ per atom. The value obtained for the density is 6.0 Mg/m³. The calculation puts the energy above the most stable polymorph in this dataset at 202.3 meV/atom. The crystal system is tetragonal. As for the density of states at the Fermi level: 0.00 states/eV/f.u. The value obtained for the formation energy from raw total energies is -193 meV/atom.

# 3
First-principles (PBE-GGA) data for a relaxed structure of Nd2Ga3Ge2, as listed in the Alexandria database.

extended XYZ file:
```
7
Lattice="4.2176 0.0000 0.0000 0.0000 4.1374 0.0000 -2.0371 0.0000 9.3403" Properties=species:S:1:pos:R:3 pbc="T T T"
Nd 0.0287 0.0000 2.6087
Nd 2.1518 0.0000 6.7316
Ga 0.0000 2.0687 0.0000
Ga 0.0357 2.0687 5.2765
Ga 2.1448 2.0687 4.0638
Ge 0.0503 2.0687 7.7480
Ge 2.1302 2.0687 1.5923
```

Computed properties:
As for the volume: 23.28 Å³ per atom. The value obtained for the density is 6.6 Mg/m³. The crystal system is monoclinic. As for the density of states at the Fermi level: 3.39 states/eV/f.u. The calculation puts the formation enthalpy at 0 K at -3.240 eV per formula unit.

# 4
First-principles (PBE-GGA) data for a relaxed structure of B5C, as listed in the Alexandria database.

extended XYZ file:
```
12
Lattice="2.3350 0.0000 0.0000 0.0000 2.3543 0.0000 0.0000 0.0000 15.0287" Properties=species:S:1:pos:R:3 pbc="T T T"
B 0.5838 0.0000 0.6629
B 0.5838 0.0000 5.9654
B 0.5838 0.0000 10.3966
B 0.5838 1.1772 1.9824
B 0.5838 1.1772 11.7185
B 1.7513 0.0000 4.6321
B 1.7513 0.0000 9.0633
B 1.7513 0.0000 14.3658
B 1.7513 1.1772 3.3102
B 1.7513 1.1772 13.0462
C 0.5838 1.1772 7.0887
C 1.7513 1.1772 7.9399
```

Computed properties:
As for the volume: 6.88 Å³ per atom. The value obtained for the density is 2.7 Mg/m³. The calculation puts the energy above the most stable polymorph in this dataset at 185.7 meV/atom. The crystal system is orthorhombic. As for the density of states at the Fermi level: 0.62 states/eV/f.u. The calculation puts the formation enthalpy at 0 K at 2.296 eV per formula unit.

# 5
First-principles (PBE-GGA) data for a relaxed structure of ReRu2Br, as listed in the Alexandria database.

extended XYZ file:
```
4
Lattice="-1.4570 2.2462 4.6750 1.4570 -2.2462 4.6750 1.4570 2.2462 -4.6750" Properties=species:S:1:pos:R:3 pbc="T T T"
Re 0.0000 0.0000 0.0000
Ru 0.0000 0.0000 4.3379
Ru 0.0000 2.2462 2.3853
Br 1.4570 0.0000 2.1777
```

Computed properties:
As for the volume: 15.30 Å³ per atom. The value obtained for the density is 12.7 Mg/m³. The calculation puts the energy above the most stable polymorph in this dataset at 400.4 meV/atom. The crystal system is orthorhombic. As for the density of states at the Fermi level: 4.26 states/eV/f.u. The value obtained for the formation energy from raw total energies is 911 meV/atom.

# 6
First-principles (PBE-GGA) data for a relaxed structure of Mg3Rh, as listed in the Alexandria database.

extended XYZ file:
```
4
Lattice="4.1270 0.0000 0.0000 0.0000 4.1270 0.0000 0.0000 0.0000 4.1491" Properties=species:S:1:pos:R:3 pbc="T T T"
Mg 0.0000 0.0000 0.0000
Mg 0.0000 2.0635 2.0746
Mg 2.0635 0.0000 2.0746
Rh 2.0635 2.0635 0.0000
```

Computed properties:
As for the volume: 17.67 Å³ per atom. The value obtained for the density is 4.1 Mg/m³. The crystal system is tetragonal. As for the density of states at the Fermi level: 1.90 states/eV/f.u. The calculation puts the formation enthalpy at 0 K at -1.078 eV per formula unit.